[1]
{"formula": "BeAl2PSe", "functional": "PBE", "state": "optimized geometry", "final_energy_ev_per_cell": -14.33, "formation_energy_uncorrected_ev_per_atom": 1.155, "lattice_angstrom": [[4.894, 0.000, 0.000], [0.000, 4.894, 0.000], [0.000, 0.000, 4.882]], "species": ["Be", "Al", "Al", "P", "Se"], "fractional_positions": [[0.000, 0.000, 0.000], [0.000, 0.500, 0.500], [0.500, 0.000, 0.500], [0.500, 0.500, 0.000], [0.500, 0.500, 0.500]]}

[2]
{"formula": "NdHoEr2Ag4", "functional": "PBE", "state": "optimized geometry", "final_energy_ev_per_cell": -32.33, "formation_enthalpy_0k_ev_per_atom": -0.3063, "lattice_angstrom": [[2.576, 1.487, 8.461], [-2.576, 1.487, 8.461], [0.000, -2.975, 8.461]], "species": ["Nd", "Ho", "Er", "Er", "Ag", "Ag", "Ag", "Ag"], "fractional_positions": [[0.000, 0.000, 0.000], [0.500, 0.500, 0.500], [0.249, 0.249, 0.249], [0.751, 0.751, 0.751], [0.127, 0.127, 0.127], [0.379, 0.379, 0.379], [0.621, 0.621, 0.621], [0.873, 0.873, 0.873]]}

[3]
{"formula": "Sc2CdHg6", "functional": "PBE", "state": "optimized geometry", "final_energy_ev_per_cell": -33.65, "formation_enthalpy_0k_ev_per_atom": -0.1594, "lattice_angstrom": [[4.641, -8.238, 0.000], [4.641, 8.238, 0.000], [-0.093, 0.000, 5.350]], "species": ["Sc", "Sc", "Sc", "Sc", "Cd", "Cd", "Hg", "Hg", "Hg", "Hg", "Hg", "Hg", "Hg", "Hg", "Hg", "Hg", "Hg", "Hg"], "fractional_positions": [[0.166, 0.334, 0.000], [0.334, 0.166, 0.500], [0.666, 0.834, 0.500], [0.834, 0.666, 0.000], [0.250, 0.750, 0.250], [0.750, 0.250, 0.750], [0.000, 0.169, 0.499], [0.000, 0.831, 0.501], [0.082, 0.582, 0.754], [0.169, 0.000, 0.999], [0.331, 0.500, 0.501], [0.418, 0.918, 0.746], [0.500, 0.331, 0.001], [0.500, 0.669, 0.999], [0.582, 0.082, 0.254], [0.669, 0.500, 0.499], [0.831, 0.000, 0.001], [0.918, 0.418, 0.246]]}

[4]
{"formula": "SrAgS", "functional": "PBE", "state": "optimized geometry", "final_energy_ev_per_cell": -22.92, "formation_energy_uncorrected_ev_per_atom": -0.933, "lattice_angstrom": [[4.452, -3.052, 0.000], [4.452, 3.052, 0.000], [-0.410, 0.000, 5.926]], "species": ["Sr", "Sr", "Ag", "Ag", "S", "S"], "fractional_positions": [[0.180, 0.180, 0.267], [0.820, 0.820, 0.733], [0.443, 0.443, 0.701], [0.557, 0.557, 0.299], [0.167, 0.167, 0.777], [0.833, 0.833, 0.223]]}

[5]
{"formula": "YPuTi", "functional": "PBE", "state": "optimized geometry", "final_energy_ev_per_cell": -55.86, "formation_enthalpy_0k_ev_per_atom": 0.2541, "lattice_angstrom": [[-1.612, 1.612, 14.281], [1.612, -1.612, 14.281], [1.612, 1.612, -14.281]], "species": ["Y", "Y", "Pu", "Pu", "Ti", "Ti"], "fractional_positions": [[0.061, 0.061, 0.000], [0.939, 0.939, 0.000], [0.351, 0.351, 0.000], [0.649, 0.649, 0.000], [0.219, 0.219, 0.000], [0.781, 0.781, 0.000]]}

[6]
{"formula": "CaTm2Ga6", "functional": "PBE", "state": "optimized geometry", "final_energy_ev_per_cell": -33.38, "formation_enthalpy_0k_ev_per_atom": -0.4744, "lattice_angstrom": [[-2.174, 3.539, 6.512], [2.174, -3.539, 6.512], [2.174, 3.539, -6.512]], "species": ["Ca", "Tm", "Tm", "Ga", "Ga", "Ga", "Ga", "Ga", "Ga"], "fractional_positions": [[0.000, 0.000, 0.000], [0.376, 0.876, 0.500], [0.624, 0.124, 0.500], [0.008, 0.313, 0.695], [0.317, 0.500, 0.817], [0.382, 0.687, 0.695], [0.618, 0.313, 0.305], [0.683, 0.500, 0.183], [0.992, 0.687, 0.305]]}

[7]
{"formula": "Nd2Ga4Pt3Rh", "functional": "PBE", "state": "optimized geometry", "final_energy_ev_per_cell": -56.61, "formation_enthalpy_0k_ev_per_atom": -0.9492, "lattice_angstrom": [[4.289, 0.000, 0.000], [0.000, 4.289, 0.000], [0.000, 0.000, 10.432]], "species": ["Nd", "Nd", "Ga", "Ga", "Ga", "Ga", "Pt", "Pt", "Pt", "Rh"], "fractional_positions": [[0.000, 0.500, 0.249], [0.500, 0.000, 0.751], [0.000, 0.000, 0.500], [0.000, 0.500, 0.873], [0.500, 0.000, 0.127], [0.500, 0.500, 0.500], [0.000, 0.000, 0.000], [0.000, 0.500, 0.633], [0.500, 0.000, 0.367], [0.500, 0.500, 0.000]]}

[8]
{"formula": "KZn2CuCl6", "functional": "PBE", "state": "optimized geometry", "final_energy_ev_per_cell": -60.82, "formation_energy_uncorrected_ev_per_atom": -1.159, "lattice_angstrom": [[6.729, -6.900, 0.000], [6.729, 6.900, 0.000], [-2.122, 0.000, 6.437]], "species": ["K", "K", "Zn", "Zn", "Zn", "Zn", "Cu", "Cu", "Cl", "Cl", "Cl", "Cl", "Cl", "Cl", "Cl", "Cl", "Cl", "Cl", "Cl", "Cl"], "fractional_positions": [[0.115, 0.885, 0.750], [0.885, 0.115, 0.250], [0.235, 0.375, 0.798], [0.375, 0.235, 0.298], [0.625, 0.765, 0.702], [0.765, 0.625, 0.202], [0.296, 0.704, 0.250], [0.704, 0.296, 0.750], [0.052, 0.210, 0.708], [0.170, 0.598, 0.951], [0.210, 0.052, 0.208], [0.309, 0.429, 0.515], [0.402, 0.830, 0.549], [0.429, 0.309, 0.015], [0.571, 0.691, 0.985], [0.598, 0.170, 0.451], [0.691, 0.571, 0.485], [0.790, 0.948, 0.792], [0.830, 0.402, 0.049], [0.948, 0.790, 0.292]]}

[9]
{"formula": "ZrInPt", "functional": "PBE", "state": "optimized geometry", "final_energy_ev_per_cell": -18.57, "formation_enthalpy_0k_ev_per_atom": -0.4155, "lattice_angstrom": [[3.608, 0.000, 0.000], [-1.804, 3.125, 0.000], [0.000, 0.000, 6.054]], "species": ["Zr", "In", "Pt"], "fractional_positions": [[0.000, 0.000, 0.000], [0.667, 0.333, 0.400], [0.333, 0.667, 0.731]]}

[10]
{"formula": "Dy2InNi", "functional": "PBE", "state": "optimized geometry", "final_energy_ev_per_cell": -18.88, "formation_enthalpy_0k_ev_per_atom": -0.2890, "lattice_angstrom": [[1.873, 1.081, 8.381], [-1.873, 1.081, 8.381], [0.000, -2.162, 8.381]], "species": ["Dy", "Dy", "In", "Ni"], "fractional_positions": [[0.232, 0.232, 0.232], [0.768, 0.768, 0.768], [0.000, 0.000, 0.000], [0.500, 0.500, 0.500]]}

[11]
{"formula": "Er7AsP5", "functional": "PBE", "state": "optimized geometry", "final_energy_ev_per_cell": -165.77, "formation_enthalpy_0k_ev_per_atom": -1.4804, "lattice_angstrom": [[1.979, -6.511, 0.000], [1.979, 6.511, 0.000], [0.000, 0.000, 23.295]], "species": ["Er", "Er", "Er", "Er", "Er", "Er", "Er", "Er", "Er", "Er", "Er", "Er", "Er", "Er", "As", "As", "P", "P", "P", "P", "P", "P", "P", "P", "P", "P"], "fractional_positions": [[0.042, 0.958, 0.750], [0.136, 0.864, 0.035], [0.136, 0.864, 0.465], [0.322, 0.678, 0.676], [0.322, 0.678, 0.824], [0.410, 0.590, 0.105], [0.410, 0.590, 0.395], [0.590, 0.410, 0.605], [0.590, 0.410, 0.895], [0.678, 0.322, 0.176], [0.678, 0.322, 0.324], [0.864, 0.136, 0.535], [0.864, 0.136, 0.965], [0.958, 0.042, 0.250], [0.297, 0.703, 0.250], [0.703, 0.297, 0.750], [0.044, 0.956, 0.145], [0.044, 0.956, 0.355], [0.228, 0.772, 0.574], [0.228, 0.772, 0.926], [0.500, 0.500, 0.000], [0.500, 0.500, 0.500], [0.772, 0.228, 0.074], [0.772, 0.228, 0.426], [0.956, 0.044, 0.645], [0.956, 0.044, 0.855]]}

[12]
{"formula": "Ac2LaCu2", "functional": "PBE", "state": "optimized geometry", "final_energy_ev_per_cell": -43.60, "formation_enthalpy_0k_ev_per_atom": -0.0927, "lattice_angstrom": [[6.105, -3.344, 0.000], [6.105, 3.344, 0.000], [-1.244, 0.000, 7.507]], "species": ["Ac", "Ac", "Ac", "Ac", "La", "La", "Cu", "Cu", "Cu", "Cu"], "fractional_positions": [[0.052, 0.253, 0.144], [0.253, 0.052, 0.644], [0.747, 0.948, 0.356], [0.948, 0.747, 0.856], [0.416, 0.584, 0.250], [0.584, 0.416, 0.750], [0.187, 0.490, 0.494], [0.490, 0.187, 0.994], [0.510, 0.813, 0.006], [0.813, 0.510, 0.506]]}

[13]
{"formula": "MgHg2P", "functional": "PBE", "state": "optimized geometry", "final_energy_ev_per_cell": -7.77, "formation_enthalpy_0k_ev_per_atom": -0.0416, "lattice_angstrom": [[3.098, 0.000, 0.000], [0.000, 3.966, 0.000], [0.000, 0.000, 8.313]], "species": ["Mg", "Hg", "Hg", "P"], "fractional_positions": [[0.000, 0.000, 0.000], [0.000, 0.000, 0.347], [0.500, 0.500, 0.605], [0.500, 0.500, 0.926]]}

[14]
{"formula": "Al2TlCr", "functional": "PBE", "state": "optimized geometry", "final_energy_ev_per_cell": -18.12, "formation_enthalpy_0k_ev_per_atom": 0.3381, "lattice_angstrom": [[4.170, 0.000, 0.000], [0.000, 4.170, 0.000], [0.000, 0.000, 4.096]], "species": ["Al", "Al", "Tl", "Cr"], "fractional_positions": [[0.000, 0.500, 0.000], [0.500, 0.000, 0.000], [0.000, 0.000, 0.500], [0.500, 0.500, 0.500]]}

[15]
{"formula": "K3Pm3ThSe8", "functional": "PBE", "state": "optimized geometry", "final_energy_ev_per_cell": -79.22, "formation_energy_uncorrected_ev_per_atom": -1.759, "lattice_angstrom": [[4.304, 2.485, 7.808], [-4.304, 2.485, 7.808], [0.000, -4.970, 7.808]], "species": ["K", "K", "K", "Pm", "Pm", "Pm", "Th", "Se", "Se", "Se", "Se", "Se", "Se", "Se", "Se"], "fractional_positions": [[0.000, 0.500, 0.500], [0.500, 0.000, 0.500], [0.500, 0.500, 0.000], [0.000, 0.000, 0.500], [0.000, 0.500, 0.000], [0.500, 0.000, 0.000], [0.500, 0.500, 0.500], [0.236, 0.236, 0.236], [0.238, 0.733, 0.733], [0.267, 0.267, 0.762], [0.267, 0.762, 0.267], [0.733, 0.238, 0.733], [0.733, 0.733, 0.238], [0.762, 0.267, 0.267], [0.764, 0.764, 0.764]]}

[16]
{"formula": "InMoPdPb2", "functional": "PBE", "state": "optimized geometry", "final_energy_ev_per_cell": -22.88, "formation_enthalpy_0k_ev_per_atom": 0.6593, "lattice_angstrom": [[5.437, 0.000, 0.000], [0.000, 5.437, 0.000], [0.000, 0.000, 4.978]], "species": ["In", "Mo", "Pd", "Pb", "Pb"], "fractional_positions": [[0.000, 0.000, 0.000], [0.500, 0.500, 0.500], [0.500, 0.500, 0.000], [0.000, 0.500, 0.500], [0.500, 0.000, 0.500]]}

[17]
{"formula": "BaPrPd5Pb2", "functional": "PBE", "state": "optimized geometry", "final_energy_ev_per_cell": -43.11, "formation_enthalpy_0k_ev_per_atom": -0.3359, "lattice_angstrom": [[4.851, 0.000, 0.000], [0.000, 4.851, 0.000], [0.000, 0.000, 9.053]], "species": ["Ba", "Pr", "Pd", "Pd", "Pd", "Pd", "Pd", "Pb", "Pb"], "fractional_positions": [[0.000, 0.000, 0.000], [0.000, 0.000, 0.500], [0.000, 0.500, 0.218], [0.000, 0.500, 0.782], [0.500, 0.000, 0.218], [0.500, 0.000, 0.782], [0.500, 0.500, 0.000], [0.500, 0.500, 0.338], [0.500, 0.500, 0.662]]}

[18]
{"formula": "Pb2C", "functional": "PBE", "state": "optimized geometry", "final_energy_ev_per_cell": -51.15, "formation_enthalpy_0k_ev_per_atom": 1.2841, "lattice_angstrom": [[6.456, 0.000, 0.000], [0.000, 6.456, 0.000], [0.000, 0.000, 6.456]], "species": ["Pb", "Pb", "Pb", "Pb", "Pb", "Pb", "Pb", "Pb", "C", "C", "C", "C"], "fractional_positions": [[0.143, 0.143, 0.143], [0.143, 0.357, 0.643], [0.357, 0.643, 0.143], [0.357, 0.857, 0.643], [0.643, 0.143, 0.357], [0.643, 0.357, 0.857], [0.857, 0.643, 0.357], [0.857, 0.857, 0.857], [0.000, 0.000, 0.500], [0.000, 0.500, 0.000], [0.500, 0.000, 0.000], [0.500, 0.500, 0.500]]}

[19]
{"formula": "Sb3PdSe", "functional": "PBE", "state": "optimized geometry", "final_energy_ev_per_cell": -86.93, "formation_energy_uncorrected_ev_per_atom": -0.137, "lattice_angstrom": [[4.939, -8.182, 0.000], [4.939, 8.182, 0.000], [-1.206, 0.000, 6.894]], "species": ["Sb", "Sb", "Sb", "Sb", "Sb", "Sb", "Sb", "Sb", "Sb", "Sb", "Sb", "Sb", "Pd", "Pd", "Pd", "Pd", "Se", "Se", "Se", "Se"], "fractional_positions": [[0.072, 0.640, 0.904], [0.211, 0.484, 0.394], [0.226, 0.370, 0.868], [0.360, 0.928, 0.596], [0.370, 0.226, 0.368], [0.484, 0.211, 0.894], [0.516, 0.789, 0.106], [0.630, 0.774, 0.632], [0.640, 0.072, 0.404], [0.774, 0.630, 0.132], [0.789, 0.516, 0.606], [0.928, 0.360, 0.096], [0.335, 0.665, 0.750], [0.480, 0.520, 0.250], [0.520, 0.480, 0.750], [0.665, 0.335, 0.250], [0.062, 0.200, 0.515], [0.200, 0.062, 0.015], [0.800, 0.938, 0.985], [0.938, 0.800, 0.485]]}

[20]
{"formula": "Bi2PbBrO4", "functional": "PBE", "state": "optimized geometry", "final_energy_ev_per_cell": -41.46, "formation_energy_uncorrected_ev_per_atom": -1.061, "lattice_angstrom": [[3.980, 0.000, 0.000], [0.000, 3.980, 0.000], [0.000, 0.000, 9.478]], "species": ["Bi", "Bi", "Pb", "Br", "O", "O", "O", "O"], "fractional_positions": [[0.000, 0.000, 0.227], [0.000, 0.000, 0.773], [0.500, 0.500, 0.500], [0.500, 0.500, 0.000], [0.000, 0.500, 0.342], [0.000, 0.500, 0.658], [0.500, 0.000, 0.342], [0.500, 0.000, 0.658]]}